Record 1
The following is a meta-GGA SCAN calculation of HoInPt2 at its PBEsol-relaxed geometry, from Alexandria via LeMat-Bulk.

D(E_F) = 0.3989 states/eV/atom
ΔE_f = -100.16 kJ per mole of atoms

a b c (Å): 4.7205 4.7205 4.7205
angles (deg): 60.00 60.00 60.00
Fractional coordinates of all 4 atoms:
Ho1 0.0000 0.0000 0.0000
In1 0.5000 0.5000 0.5000
Pt1 0.2500 0.2500 0.2500
Pt2 0.7500 0.7500 0.7500

Record 2
The following is a meta-GGA SCAN calculation of La3MoPb at its PBEsol-relaxed geometry, from Alexandria via LeMat-Bulk.

D(E_F) = 0.3611 states/eV/atom
ΔE_f = -14.89 kJ per mole of atoms

a b c (Å): 5.3618 5.3618 5.3618
angles (deg): 90.00 90.00 90.00
Fractional coordinates of all 5 atoms:
La1 0.0000 0.0000 0.5000
La2 0.0000 0.5000 0.0000
La3 0.5000 0.0000 0.0000
Mo1 0.0000 0.0000 0.0000
Pb1 0.5000 0.5000 0.5000